The following is a PBE-GGA calculation of an optimized crystal structure of Np2HgCl6, from Alexandria.

Output
The calculation puts the magnetic moment at 8.000 μB/cell. The total energy comes out at -5.650 eV/atom.

Lattice parameters (Å, degrees): 7.2293 7.2293 8.7444 90.00 90.00 120.00
Space group P-31m (No. 162)
Symmetry-distinct sites (fractional):
Np 0.3333 0.6667 0.0000 (multiplicity 2)
Hg 0.0000 0.0000 0.5000 (multiplicity 1)
Cl 0.0000 0.3755 0.1730 (multiplicity 6)

***

The following is a PBE-GGA calculation of an optimized crystal structure of B5C7, from Alexandria.

Output
The calculation puts the magnetic moment at 0.000 μB/cell. The total energy comes out at -7.898 eV/atom. The calculation puts the energy above the most stable polymorph in this dataset at 0.0067 eV per atom. As for the energy relative to the elements: 0.265 eV per atom.

Lattice parameters (Å, degrees): 2.6060 2.6060 16.5858 90.00 90.00 120.00
Space group P3m1 (No. 156)
Symmetry-distinct sites (fractional):
B 0.0000 0.0000 0.0000 (multiplicity 1)
B 0.0000 0.0000 0.3208 (multiplicity 1)
B 0.3333 0.6667 0.4230 (multiplicity 1)
B 0.6667 0.3333 0.2584 (multiplicity 1)
B 0.6667 0.3333 0.8891 (multiplicity 1)
C 0.0000 0.0000 0.4150 (multiplicity 1)
C 0.0000 0.0000 0.8992 (multiplicity 1)
C 0.3333 0.6667 0.0401 (multiplicity 1)
C 0.3333 0.6667 0.1307 (multiplicity 1)
C 0.3333 0.6667 0.6543 (multiplicity 1)
C 0.6667 0.3333 0.1637 (multiplicity 1)
C 0.6667 0.3333 0.6543 (multiplicity 1)

***

The following is a PBE-GGA calculation of an optimized crystal structure of PrZn5Pd2Pt, from Alexandria.

Output
The calculation puts the magnetic moment at 0.000 μB/cell. The total energy comes out at -3.329 eV/atom. As for the energy relative to the elements: -0.265 eV per atom.

Lattice parameters (Å, degrees): 4.8355 4.8355 7.3395 90.00 90.00 90.00
Space group P4/mmm (No. 123)
Symmetry-distinct sites (fractional):
Pr 0.0000 0.0000 0.0000 (multiplicity 1)
Zn 0.0000 0.5000 0.3158 (multiplicity 4)
Zn 0.5000 0.5000 0.0000 (multiplicity 1)
Pd 0.5000 0.5000 0.3201 (multiplicity 2)
Pt 0.0000 0.0000 0.5000 (multiplicity 1)

***

The following is a PBE-GGA calculation of an optimized crystal structure of MnNb5Mo4, from Alexandria.

Output
The calculation puts the magnetic moment at 0.000 μB/cell. The total energy comes out at -10.400 eV/atom. As for the energy relative to the elements: -0.115 eV per atom.

Lattice parameters (Å, degrees): 3.2097 3.2097 16.0072 90.00 90.00 90.00
Space group P4/mmm (No. 123)
Symmetry-distinct sites (fractional):
Mn 0.0000 0.0000 0.0000 (multiplicity 1)
Nb 0.5000 0.5000 0.0944 (multiplicity 2)
Nb 0.5000 0.5000 0.2965 (multiplicity 2)
Nb 0.5000 0.5000 0.5000 (multiplicity 1)
Mo 0.0000 0.0000 0.1955 (multiplicity 2)
Mo 0.0000 0.0000 0.3986 (multiplicity 2)

***

The following is a PBE-GGA calculation of an optimized crystal structure of KFe2Se, from Alexandria.

Output
The calculation puts the magnetic moment at 10.224 μB/cell. The total energy comes out at -4.951 eV/atom.

Lattice parameters (Å, degrees): 2.9727 5.9755 10.1680 90.00 90.00 90.00
Space group Imm2 (No. 44)
Symmetry-distinct sites (fractional):
K 0.0000 0.0000 0.0000 (multiplicity 2)
Fe 0.0000 0.0000 0.4817 (multiplicity 2)
Fe 0.0000 0.5000 0.1586 (multiplicity 2)
Se 0.0000 0.5000 0.8014 (multiplicity 2)

***

The following is a PBE-GGA calculation of an optimized crystal structure of AcTePd4, from Alexandria.

Output
The calculation puts the magnetic moment at 0.000 μB/cell. The total energy comes out at -5.216 eV/atom. The calculation puts the energy above the most stable polymorph in this dataset at 0.0133 eV per atom.

Lattice parameters (Å, degrees): 7.8943 7.8943 7.8943 90.00 90.00 90.00
Space group F-43m (No. 216)
Symmetry-distinct sites (fractional):
Ac 0.0000 0.0000 0.0000 (multiplicity 4)
Te 0.2500 0.2500 0.2500 (multiplicity 4)
Pd 0.1256 0.1256 0.6256 (multiplicity 16)

***

The following is a PBE-GGA calculation of an optimized crystal structure of SrLi2Cl, from Alexandria.

Output
The calculation puts the magnetic moment at 0.002 μB/cell. The total energy comes out at -2.476 eV/atom. The calculation puts the energy above the most stable polymorph in this dataset at 0.0941 eV per atom.

Lattice parameters (Å, degrees): 3.7630 6.7476 10.0777 90.00 90.00 90.00
Space group Imm2 (No. 44)
Symmetry-distinct sites (fractional):
Sr 0.0000 0.0000 0.0000 (multiplicity 2)
Li 0.0000 0.0000 0.6130 (multiplicity 2)
Li 0.0000 0.5000 0.8315 (multiplicity 2)
Cl 0.0000 0.5000 0.2708 (multiplicity 2)

***

The following is a PBE-GGA calculation of an optimized crystal structure of La2Tb3Er6, from Alexandria.

Output
The calculation puts the magnetic moment at 0.009 μB/cell. The total energy comes out at -4.464 eV/atom. As for the energy relative to the elements: 0.183 eV per atom.

Lattice parameters (Å, degrees): 6.0953 10.5673 11.7580 90.00 99.99 90.00
Space group C2/m (No. 12)
Symmetry-distinct sites (fractional):
La 0.0000 0.1672 0.0000 (multiplicity 4)
Tb 0.0000 0.0000 0.5000 (multiplicity 2)
Tb 0.0000 0.3351 0.5000 (multiplicity 4)
Er 0.2483 0.1666 0.7448 (multiplicity 8)
Er 0.2481 0.5000 0.7447 (multiplicity 4)

***

The following is a PBE-GGA calculation of an optimized crystal structure of Tb3TmTl4, from Alexandria.

Output
The calculation puts the magnetic moment at 0.000 μB/cell. The total energy comes out at -3.697 eV/atom. The calculation puts the energy above the most stable polymorph in this dataset at 0.1240 eV per atom. As for the energy relative to the elements: -0.218 eV per atom.

Lattice parameters (Å, degrees): 9.9901 6.7196 6.6385 90.00 90.00 90.00
Space group Pmn2_1 (No. 31)
Symmetry-distinct sites (fractional):
Tb 0.0000 0.0010 0.0000 (multiplicity 2)
Tb 0.2503 0.2510 0.2508 (multiplicity 4)
Tm 0.0000 0.5008 0.0022 (multiplicity 2)
Tl 0.0000 0.0003 0.5000 (multiplicity 2)
Tl 0.0000 0.5000 0.5019 (multiplicity 2)
Tl 0.2501 0.2505 0.7509 (multiplicity 4)

***

The following is a PBE-GGA calculation of an optimized crystal structure of CaMg2Si2, from Alexandria.

Output
The calculation puts the magnetic moment at 0.000 μB/cell. The total energy comes out at -3.464 eV/atom.

Lattice parameters (Å, degrees): 4.5948 4.2109 11.3099 90.00 94.33 90.00
Space group P2_1/m (No. 11)
Symmetry-distinct sites (fractional):
Ca 0.1835 0.2500 0.2535 (multiplicity 2)
Mg 0.2502 0.7500 0.4965 (multiplicity 2)
Mg 0.3426 0.2500 0.8739 (multiplicity 2)
Si 0.1465 0.7500 0.0100 (multiplicity 2)
Si 0.2760 0.2500 0.6439 (multiplicity 2)

***

The following is a PBE-GGA calculation of an optimized crystal structure of CeGdN, from Alexandria.

Output
The calculation puts the magnetic moment at 30.859 μB/cell. The total energy comes out at -9.829 eV/atom. The calculation puts the energy above the most stable polymorph in this dataset at 0.5523 eV per atom.

Lattice parameters (Å, degrees): 6.0807 6.0807 6.0807 90.00 90.00 90.00
Space group F-43m (No. 216)
Symmetry-distinct sites (fractional):
Ce 0.0000 0.0000 0.0000 (multiplicity 4)
Gd 0.0000 0.0000 0.5000 (multiplicity 4)
N 0.2500 0.2500 0.2500 (multiplicity 4)

***

The following is a PBE-GGA calculation of an optimized crystal structure of Ba2MnAu, from Alexandria.

Output
The calculation puts the magnetic moment at 4.480 μB/cell. The total energy comes out at -4.034 eV/atom. The calculation puts the energy above the most stable polymorph in this dataset at 0.1144 eV per atom. As for the energy relative to the elements: 0.039 eV per atom.

Lattice parameters (Å, degrees): 3.8230 3.8230 9.4871 90.00 90.00 90.00
Space group P4mm (No. 99)
Symmetry-distinct sites (fractional):
Ba 0.0000 0.0000 0.0000 (multiplicity 1)
Ba 0.5000 0.5000 0.4059 (multiplicity 1)
Mn 0.0000 0.0000 0.6624 (multiplicity 1)
Au 0.5000 0.5000 0.7582 (multiplicity 1)